Record 1
The following is a DFT calculation (PBE-GGA) of a relaxed TaFeCo2 crystal.

The total DFT energy (no corrections) comes out at -8.211 eV/atom. The energy of formation comes out at 1.69 eV/f.u. The polymorph energy (0 for the lowest one) is 594 meV per atom.

The structure belongs to space group Pmma (No. 51); the cell edges are 4.646, 4.561 and 10.954 Å and the angles 90.00°, 90.00° and 90.00°. The asymmetric unit holds Ta at (0.250, 0.000, 0.086), Ta at (0.250, 0.500, 0.410), Fe at (0.250, 0.000, 0.679), Fe at (0.250, 0.500, 0.645), Co at (0.000, 0.000, 0.500), Co at (0.000, 0.500, 0.000) and Co at (0.250, 0.253, 0.850).


Record 2
The following is a DFT calculation (PBE-GGA) of a relaxed DyNbAs crystal.

The total DFT energy (no corrections) comes out at -6.876 eV/atom. The energy of formation comes out at -1.31 eV/f.u.

The structure belongs to space group Immm (No. 71); the cell edges are 3.581, 4.836 and 15.869 Å and the angles 90.00°, 90.00° and 90.00°. The asymmetric unit holds Dy at (0.000, 0.000, 0.166), Nb at (0.000, 0.256, 0.500) and As at (0.000, 0.000, 0.345).


Record 3
The following is a DFT calculation (PBE-GGA) of a relaxed Pr2CuP3Pd4 crystal.

The total DFT energy (no corrections) comes out at -5.929 eV/atom. The energy of formation comes out at -8.63 eV/f.u.

The structure belongs to space group P-4m2 (No. 115); the cell edges are 4.260, 4.260 and 9.825 Å and the angles 90.00°, 90.00° and 90.00°. The asymmetric unit holds Pr at (0.000, 0.500, 0.250), Cu at (0.000, 0.000, 0.500), P at (0.000, 0.500, 0.864), P at (0.500, 0.500, 0.500), Pd at (0.000, 0.000, 0.000), Pd at (0.000, 0.500, 0.623) and Pd at (0.500, 0.500, 0.000).


Record 4
The following is a DFT calculation (PBE-GGA) of a relaxed NdY2Er crystal.

The total DFT energy (no corrections) comes out at -5.540 eV/atom. The energy of formation comes out at 0.10 eV/f.u. The polymorph energy (0 for the lowest one) is 13 meV per atom.

The structure belongs to space group P4/mmm (No. 123); the cell edges are 5.063, 5.063 and 5.074 Å and the angles 90.00°, 90.00° and 90.00°. The asymmetric unit holds Nd at (0.000, 0.000, 0.000), Y at (0.000, 0.500, 0.500) and Er at (0.500, 0.500, 0.000).


Record 5
The following is a DFT calculation (PBE-GGA) of a relaxed K2RbIF crystal.

The calculation puts the uncorrected formation energy at -1.488 eV/atom. The total DFT energy (no corrections) comes out at -2.805 eV/atom. The polymorph energy (0 for the lowest one) is 20 meV per atom.

The structure belongs to space group P4/mmm (No. 123); the cell edges are 5.209, 5.209 and 9.015 Å and the angles 90.00°, 90.00° and 90.00°. The asymmetric unit holds K at (0.000, 0.500, 0.000), Rb at (0.000, 0.000, 0.500), I at (0.500, 0.500, 0.500) and F at (0.500, 0.500, 0.000).


Record 6
The following is a DFT calculation (PBE-GGA) of a relaxed Er4PbAuSe2 crystal.

The calculation puts the uncorrected formation energy at -1.150 eV/atom. The total DFT energy (no corrections) comes out at -5.176 eV/atom.

The structure belongs to space group P2/m (No. 10); the cell edges are 6.985, 3.986 and 7.720 Å and the angles 90.00°, 107.48° and 90.00°. The asymmetric unit holds Er at (0.234, 0.000, 0.231), Er at (0.240, 0.500, 0.758), Pb at (0.500, 0.500, 0.500), Au at (0.000, 0.000, 0.500), Se at (0.000, 0.500, 0.000) and Se at (0.500, 0.000, 0.000).


What is the formula in the fifth record? K2RbIF